# 1
A relaxed U2CdI8 crystal, computed with GGA-PBE.

Summary:
As for the crystal system: monoclinic. As for the space-group type: No. 12. The value obtained for the uncorrected formation energy is -616 meV per atom.

Geometry as CIF:
```
data_U2CdI8
_symmetry_space_group_name_H-M 'P 1'
_symmetry_Int_Tables_number 1
_cell_length_a 8.273
_cell_length_b 8.273
_cell_length_c 9.440
_cell_angle_alpha 90.26
_cell_angle_beta 90.26
_cell_angle_gamma 72.16
loop_
_symmetry_equiv_pos_as_xyz
'x,y,z'
loop_
_atom_site_label
_atom_site_type_symbol
_atom_site_fract_x
_atom_site_fract_y
_atom_site_fract_z
U1 U 0.120 0.120 0.317
U2 U 0.880 0.880 0.683
Cd1 Cd 0.000 0.000 0.000
I1 I 0.112 0.112 0.645
I2 I 0.146 0.616 0.827
I3 I 0.335 0.335 0.359
I4 I 0.384 0.854 0.173
I5 I 0.616 0.146 0.827
I6 I 0.665 0.665 0.641
I7 I 0.854 0.384 0.173
I8 I 0.888 0.888 0.355
```

---

# 2
A relaxed TaSe2S crystal, computed with GGA-PBE.

Summary:
As for the crystal system: trigonal. As for the space-group type: No. 166. The value obtained for the uncorrected formation energy is -177 meV per atom.

Geometry as CIF:
```
data_TaSe2S
_symmetry_space_group_name_H-M 'P 1'
_symmetry_Int_Tables_number 1
_cell_length_a 8.497
_cell_length_b 8.497
_cell_length_c 8.497
_cell_angle_alpha 23.65
_cell_angle_beta 23.65
_cell_angle_gamma 23.65
loop_
_symmetry_equiv_pos_as_xyz
'x,y,z'
loop_
_atom_site_label
_atom_site_type_symbol
_atom_site_fract_x
_atom_site_fract_y
_atom_site_fract_z
Ta1 Ta 0.000 0.000 0.000
Se1 Se 0.401 0.401 0.401
Se2 Se 0.599 0.599 0.599
S1 S 0.500 0.500 0.500
```

---

# 3
A relaxed TaFe2As crystal, computed with GGA-PBE.

Summary:
As for the crystal system: orthorhombic. The calculation puts the formation energy at 0.1337 eV per atom. As for the space-group type: No. 65.

Geometry as CIF:
```
data_TaFe2As
_symmetry_space_group_name_H-M 'P 1'
_symmetry_Int_Tables_number 1
_cell_length_a 2.787
_cell_length_b 2.787
_cell_length_c 7.831
_cell_angle_alpha 90.00
_cell_angle_beta 90.00
_cell_angle_gamma 106.14
loop_
_symmetry_equiv_pos_as_xyz
'x,y,z'
loop_
_atom_site_label
_atom_site_type_symbol
_atom_site_fract_x
_atom_site_fract_y
_atom_site_fract_z
Ta1 Ta 0.000 0.000 0.000
Fe1 Fe 0.500 0.500 0.262
Fe2 Fe 0.500 0.500 0.738
As1 As 0.000 0.000 0.500
```

---

# 4
A relaxed MgGe2Os crystal, computed with GGA-PBE.

Summary:
As for the crystal system: orthorhombic. The calculation puts the formation energy at -0.1129 eV per atom. As for the space-group type: No. 62.

Geometry as CIF:
```
data_MgGe2Os
_symmetry_space_group_name_H-M 'P 1'
_symmetry_Int_Tables_number 1
_cell_length_a 13.417
_cell_length_b 7.755
_cell_length_c 5.209
_cell_angle_alpha 90.00
_cell_angle_beta 90.00
_cell_angle_gamma 90.00
loop_
_symmetry_equiv_pos_as_xyz
'x,y,z'
loop_
_atom_site_label
_atom_site_type_symbol
_atom_site_fract_x
_atom_site_fract_y
_atom_site_fract_z
Mg1 Mg 0.116 0.250 0.193
Mg2 Mg 0.138 0.750 0.003
Mg3 Mg 0.362 0.250 0.503
Mg4 Mg 0.384 0.750 0.693
Mg5 Mg 0.616 0.250 0.307
Mg6 Mg 0.638 0.750 0.497
Mg7 Mg 0.862 0.250 0.997
Mg8 Mg 0.884 0.750 0.807
Ge1 Ge 0.031 0.029 0.761
Ge2 Ge 0.031 0.471 0.761
Ge3 Ge 0.209 0.551 0.465
Ge4 Ge 0.209 0.949 0.465
Ge5 Ge 0.291 0.051 0.965
Ge6 Ge 0.291 0.449 0.965
Ge7 Ge 0.469 0.529 0.261
Ge8 Ge 0.469 0.971 0.261
Ge9 Ge 0.531 0.029 0.739
Ge10 Ge 0.531 0.471 0.739
Ge11 Ge 0.709 0.551 0.035
Ge12 Ge 0.709 0.949 0.035
Ge13 Ge 0.791 0.051 0.535
Ge14 Ge 0.791 0.449 0.535
Ge15 Ge 0.969 0.529 0.239
Ge16 Ge 0.969 0.971 0.239
Os1 Os 0.058 0.750 0.510
Os2 Os 0.170 0.250 0.694
Os3 Os 0.330 0.750 0.194
Os4 Os 0.442 0.250 0.010
Os5 Os 0.558 0.750 0.990
Os6 Os 0.670 0.250 0.806
Os7 Os 0.830 0.750 0.306
Os8 Os 0.942 0.250 0.490
```

---

# 5
A relaxed Ac3PrY6Ho2 crystal, computed with GGA-PBE.

Summary:
As for the crystal system: monoclinic. The calculation puts the formation energy at 0.0467 eV per atom. As for the space-group type: No. 12.

Geometry as CIF:
```
data_Ac3PrY6Ho2
_symmetry_space_group_name_H-M 'P 1'
_symmetry_Int_Tables_number 1
_cell_length_a 6.418
_cell_length_b 6.418
_cell_length_c 12.006
_cell_angle_alpha 95.11
_cell_angle_beta 95.11
_cell_angle_gamma 120.00
loop_
_symmetry_equiv_pos_as_xyz
'x,y,z'
loop_
_atom_site_label
_atom_site_type_symbol
_atom_site_fract_x
_atom_site_fract_y
_atom_site_fract_z
Ac1 Ac 0.000 0.000 0.000
Ac2 Ac 0.334 0.666 0.000
Ac3 Ac 0.666 0.334 0.000
Pr1 Pr 0.500 0.500 0.500
Y1 Y 0.085 0.419 0.258
Y2 Y 0.246 0.246 0.742
Y3 Y 0.419 0.085 0.258
Y4 Y 0.581 0.915 0.742
Y5 Y 0.754 0.754 0.258
Y6 Y 0.915 0.581 0.742
Ho1 Ho 0.167 0.833 0.500
Ho2 Ho 0.833 0.167 0.500
```

---

# 6
A relaxed Mo2OsBr crystal, computed with GGA-PBE.

Summary:
As for the crystal system: tetragonal. Its offset from the most stable computed form is 0.0 kJ per mole of atoms. As for the space-group type: No. 123. The value obtained for the uncorrected formation energy is 474 meV per atom.

Geometry as CIF:
```
data_Mo2OsBr
_symmetry_space_group_name_H-M 'P 1'
_symmetry_Int_Tables_number 1
_cell_length_a 2.992
_cell_length_b 2.992
_cell_length_c 7.033
_cell_angle_alpha 90.00
_cell_angle_beta 90.00
_cell_angle_gamma 90.00
loop_
_symmetry_equiv_pos_as_xyz
'x,y,z'
loop_
_atom_site_label
_atom_site_type_symbol
_atom_site_fract_x
_atom_site_fract_y
_atom_site_fract_z
Mo1 Mo 0.000 0.000 0.245
Mo2 Mo 0.000 0.000 0.755
Os1 Os 0.500 0.500 0.000
Br1 Br 0.500 0.500 0.500
```

---

# 7
A relaxed Na4InPd crystal, computed with GGA-PBE.

Summary:
As for the crystal system: monoclinic. The calculation puts the formation energy at -0.0892 eV per atom. As for the space-group type: No. 12.

Geometry as CIF:
```
data_Na4InPd
_symmetry_space_group_name_H-M 'P 1'
_symmetry_Int_Tables_number 1
_cell_length_a 5.627
_cell_length_b 5.627
_cell_length_c 12.015
_cell_angle_alpha 95.97
_cell_angle_beta 95.97
_cell_angle_gamma 121.71
loop_
_symmetry_equiv_pos_as_xyz
'x,y,z'
loop_
_atom_site_label
_atom_site_type_symbol
_atom_site_fract_x
_atom_site_fract_y
_atom_site_fract_z
Na1 Na 0.020 0.685 0.715
Na2 Na 0.164 0.836 0.000
Na3 Na 0.289 0.289 0.583
Na4 Na 0.315 0.980 0.285
Na5 Na 0.685 0.020 0.715
Na6 Na 0.711 0.711 0.417
Na7 Na 0.836 0.164 0.000
Na8 Na 0.980 0.315 0.285
In1 In 0.437 0.437 0.872
In2 In 0.563 0.563 0.128
Pd1 Pd 0.250 0.750 0.500
Pd2 Pd 0.750 0.250 0.500
```

---

# 8
A relaxed ThNi2B crystal, computed with GGA-PBE.

Summary:
As for the crystal system: trigonal. The calculation puts the formation energy at -0.3116 eV per atom. As for the space-group type: No. 166.

Geometry as CIF:
```
data_ThNi2B
_symmetry_space_group_name_H-M 'P 1'
_symmetry_Int_Tables_number 1
_cell_length_a 5.342
_cell_length_b 5.342
_cell_length_c 5.342
_cell_angle_alpha 40.79
_cell_angle_beta 40.79
_cell_angle_gamma 40.79
loop_
_symmetry_equiv_pos_as_xyz
'x,y,z'
loop_
_atom_site_label
_atom_site_type_symbol
_atom_site_fract_x
_atom_site_fract_y
_atom_site_fract_z
Th1 Th 0.000 0.000 0.000
Ni1 Ni 0.204 0.204 0.204
Ni2 Ni 0.796 0.796 0.796
B1 B 0.500 0.500 0.500
```

---

# 9
A relaxed Sm2DyErTe6 crystal, computed with GGA-PBE.

Summary:
As for the crystal system: trigonal. As for the space-group type: No. 146. The value obtained for the uncorrected formation energy is -1364 meV per atom.

Geometry as CIF:
```
data_Sm2DyErTe6
_symmetry_space_group_name_H-M 'P 1'
_symmetry_Int_Tables_number 1
_cell_length_a 8.359
_cell_length_b 8.359
_cell_length_c 8.359
_cell_angle_alpha 55.35
_cell_angle_beta 55.35
_cell_angle_gamma 55.35
loop_
_symmetry_equiv_pos_as_xyz
'x,y,z'
loop_
_atom_site_label
_atom_site_type_symbol
_atom_site_fract_x
_atom_site_fract_y
_atom_site_fract_z
Sm1 Sm 0.000 0.000 0.000
Sm2 Sm 0.500 0.500 0.500
Dy1 Dy 0.312 0.312 0.312
Er1 Er 0.812 0.812 0.812
Te1 Te 0.084 0.417 0.709
Te2 Te 0.208 0.915 0.586
Te3 Te 0.417 0.709 0.084
Te4 Te 0.586 0.208 0.915
Te5 Te 0.709 0.084 0.417
Te6 Te 0.915 0.586 0.208
```

---

# 10
A relaxed Tb3SmCd crystal, computed with GGA-PBE.

Summary:
As for the crystal system: monoclinic. Its offset from the most stable computed form is 8.1 kJ per mole of atoms. The calculation puts the formation energy at -0.0249 eV per atom. As for the space-group type: No. 15.

Geometry as CIF:
```
data_Tb3SmCd
_symmetry_space_group_name_H-M 'P 1'
_symmetry_Int_Tables_number 1
_cell_length_a 9.859
_cell_length_b 9.859
_cell_length_c 6.497
_cell_angle_alpha 100.53
_cell_angle_beta 100.53
_cell_angle_gamma 83.21
loop_
_symmetry_equiv_pos_as_xyz
'x,y,z'
loop_
_atom_site_label
_atom_site_type_symbol
_atom_site_fract_x
_atom_site_fract_y
_atom_site_fract_z
Tb1 Tb 0.035 0.171 0.463
Tb2 Tb 0.125 0.500 0.365
Tb3 Tb 0.171 0.035 0.963
Tb4 Tb 0.231 0.370 0.861
Tb5 Tb 0.370 0.231 0.361
Tb6 Tb 0.500 0.125 0.865
Tb7 Tb 0.500 0.875 0.135
Tb8 Tb 0.630 0.769 0.639
Tb9 Tb 0.769 0.630 0.139
Tb10 Tb 0.829 0.965 0.037
Tb11 Tb 0.875 0.500 0.635
Tb12 Tb 0.965 0.829 0.537
Sm1 Sm 0.101 0.710 0.019
Sm2 Sm 0.290 0.899 0.481
Sm3 Sm 0.710 0.101 0.519
Sm4 Sm 0.899 0.290 0.981
Cd1 Cd 0.352 0.648 0.750
Cd2 Cd 0.419 0.581 0.250
Cd3 Cd 0.581 0.419 0.750
Cd4 Cd 0.648 0.352 0.250
```

---

# 11
A relaxed LiUHg2Se6 crystal, computed with GGA-PBE.

Summary:
As for the crystal system: triclinic. As for the space-group type: No. 1. The value obtained for the uncorrected formation energy is -478 meV per atom.

Geometry as CIF:
```
data_LiUHg2Se6
_symmetry_space_group_name_H-M 'P 1'
_symmetry_Int_Tables_number 1
_cell_length_a 6.929
_cell_length_b 6.932
_cell_length_c 7.522
_cell_angle_alpha 62.65
_cell_angle_beta 62.64
_cell_angle_gamma 60.04
loop_
_symmetry_equiv_pos_as_xyz
'x,y,z'
loop_
_atom_site_label
_atom_site_type_symbol
_atom_site_fract_x
_atom_site_fract_y
_atom_site_fract_z
Li1 Li 0.000 0.000 0.000
U1 U 0.512 0.512 0.465
Hg1 Hg 0.321 0.321 0.038
Hg2 Hg 0.755 0.757 0.732
Se1 Se 0.134 0.766 0.725
Se2 Se 0.264 0.613 0.229
Se3 Se 0.375 0.135 0.726
Se4 Se 0.613 0.894 0.228
Se5 Se 0.765 0.376 0.725
Se6 Se 0.893 0.264 0.229
```

---

# 12
A relaxed CrSnSe2 crystal, computed with GGA-PBE.

Summary:
As for the crystal system: triclinic. As for the space-group type: No. 1. The value obtained for the uncorrected formation energy is -252 meV per atom.

Geometry as CIF:
```
data_CrSnSe2
_symmetry_space_group_name_H-M 'P 1'
_symmetry_Int_Tables_number 1
_cell_length_a 3.698
_cell_length_b 6.290
_cell_length_c 8.815
_cell_angle_alpha 101.41
_cell_angle_beta 100.72
_cell_angle_gamma 93.69
loop_
_symmetry_equiv_pos_as_xyz
'x,y,z'
loop_
_atom_site_label
_atom_site_type_symbol
_atom_site_fract_x
_atom_site_fract_y
_atom_site_fract_z
Cr1 Cr 0.000 0.000 0.000
Cr2 Cr 0.329 0.788 0.054
Sn1 Sn 0.435 0.404 0.685
Sn2 Sn 0.805 0.959 0.453
Se1 Se 0.042 0.397 0.914
Se2 Se 0.211 0.676 0.302
Se3 Se 0.431 0.857 0.798
Se4 Se 0.634 0.150 0.195
```

---

DFT total energy list, top to bottom, in eV/atom: -3.88; -5.91; -8.22; -5.63; -5.37; -8.17; -2.29; -6.73; -5.11; -3.93; -3.95; -5.40